! PBE NdYH2Br4, relaxed; values from VASP
! Electronic total energy (eV/atom): -4.600
! Space-group type: P-6m2 (187)
! Crystal system: hexagonal
! Size of the total moment (μB per atom): 0.000
&SYSTEM
  ibrav = 0, nat = 8, ntyp = 4
/
ATOMIC_SPECIES
Nd 144.24 Nd.upf
Y 88.91 Y.upf
H 1.01 H.upf
Br 79.90 Br.upf
CELL_PARAMETERS angstrom
3.919 0.000 0.000
-1.960 3.394 0.000
0.000 0.000 14.856
ATOMIC_POSITIONS crystal
Nd 0.000 0.000 0.000
Y 0.000 0.000 0.500
H 0.333 0.667 0.500
H 0.667 0.333 0.000
Br 0.333 0.667 0.133
Br 0.333 0.667 0.867
Br 0.667 0.333 0.373
Br 0.667 0.333 0.627

=====

! PBE NpH2Br, relaxed; values from VASP
! Electronic total energy (eV/atom): -5.957
! Space-group type: R-3m (166)
! Crystal system: trigonal
! Size of the total moment (μB per atom): 1.000
&SYSTEM
  ibrav = 0, nat = 8, ntyp = 3
/
ATOMIC_SPECIES
Np 237.00 Np.upf
H 1.01 H.upf
Br 79.90 Br.upf
CELL_PARAMETERS angstrom
1.887 1.089 10.390
-1.887 1.089 10.390
0.000 -2.179 10.390
ATOMIC_POSITIONS crystal
Np 0.115 0.115 0.115
Np 0.885 0.885 0.885
H 0.189 0.189 0.189
H 0.454 0.454 0.454
H 0.546 0.546 0.546
H 0.811 0.811 0.811
Br 0.282 0.282 0.282
Br 0.718 0.718 0.718

=====

! PBE TbH2BrO2, relaxed; values from VASP
! Electronic total energy (eV/atom): -5.815
! Space-group type: P2_1/m (11)
! Crystal system: monoclinic
! Size of the total moment (μB per atom): 0.000
&SYSTEM
  ibrav = 0, nat = 12, ntyp = 4
/
ATOMIC_SPECIES
Tb 158.93 Tb.upf
H 1.01 H.upf
Br 79.90 Br.upf
O 16.00 O.upf
CELL_PARAMETERS angstrom
6.104 0.000 0.000
0.000 3.731 0.000
-2.364 0.000 6.399
ATOMIC_POSITIONS crystal
Tb 0.202 0.250 0.384
Tb 0.798 0.750 0.616
H 0.178 0.250 0.802
H 0.383 0.750 0.722
H 0.617 0.250 0.278
H 0.822 0.750 0.198
Br 0.267 0.750 0.059
Br 0.733 0.250 0.941
O 0.063 0.250 0.660
O 0.397 0.750 0.584
O 0.603 0.250 0.416
O 0.937 0.750 0.340

=====

! PBE PrScH2Br4, relaxed; values from VASP
! Electronic total energy (eV/atom): -4.440
! Space-group type: P-6m2 (187)
! Crystal system: hexagonal
! Size of the total moment (μB per atom): 0.000
&SYSTEM
  ibrav = 0, nat = 8, ntyp = 4
/
ATOMIC_SPECIES
Pr 140.91 Pr.upf
Sc 44.96 Sc.upf
H 1.01 H.upf
Br 79.90 Br.upf
CELL_PARAMETERS angstrom
3.835 0.000 0.000
-1.918 3.322 0.000
0.000 0.000 14.731
ATOMIC_POSITIONS crystal
Pr 0.000 0.000 0.000
Sc 0.000 0.000 0.500
H 0.333 0.667 0.000
H 0.667 0.333 0.500
Br 0.333 0.667 0.379
Br 0.333 0.667 0.621
Br 0.667 0.333 0.138
Br 0.667 0.333 0.862

=====

! PBE HPtBr, relaxed; values from VASP
! Electronic total energy (eV/atom): -3.817
! Space-group type: Pm (6)
! Crystal system: monoclinic
! Size of the total moment (μB per atom): 0.001
&SYSTEM
  ibrav = 0, nat = 6, ntyp = 3
/
ATOMIC_SPECIES
H 1.01 H.upf
Pt 195.08 Pt.upf
Br 79.90 Br.upf
CELL_PARAMETERS angstrom
4.140 0.000 0.000
0.000 3.769 0.000
-2.002 0.000 7.911
ATOMIC_POSITIONS crystal
H 0.000 0.250 0.000
H 0.000 0.750 0.000
Pt 0.196 0.000 0.879
Pt 0.317 0.500 0.118
Br 0.210 0.500 0.678
Br 0.535 0.000 0.317

=====

! PBE SmHBr3, relaxed; values from VASP
! Electronic total energy (eV/atom): -4.108
! Space-group type: P2/c (13)
! Crystal system: monoclinic
! Size of the total moment (μB per atom): 0.000
&SYSTEM
  ibrav = 0, nat = 20, ntyp = 3
/
ATOMIC_SPECIES
Sm 150.36 Sm.upf
H 1.01 H.upf
Br 79.90 Br.upf
CELL_PARAMETERS angstrom
7.705 0.000 0.000
0.000 7.685 0.000
-4.150 0.000 12.656
ATOMIC_POSITIONS crystal
Sm 0.000 0.250 0.083
Sm 0.000 0.250 0.417
Sm 0.000 0.750 0.583
Sm 0.000 0.750 0.917
H 0.052 0.236 0.759
H 0.052 0.764 0.259
H 0.948 0.236 0.741
H 0.948 0.764 0.241
Br 0.249 0.007 0.551
Br 0.249 0.250 0.295
Br 0.249 0.494 0.041
Br 0.249 0.506 0.541
Br 0.249 0.750 0.795
Br 0.249 0.993 0.051
Br 0.751 0.007 0.949
Br 0.751 0.250 0.205
Br 0.751 0.494 0.459
Br 0.751 0.506 0.959
Br 0.751 0.750 0.705
Br 0.751 0.993 0.449

=====

! PBE TbTmH2Br4, relaxed; values from VASP
! Electronic total energy (eV/atom): -4.325
! Space-group type: P-6m2 (187)
! Crystal system: hexagonal
! Size of the total moment (μB per atom): 0.000
&SYSTEM
  ibrav = 0, nat = 8, ntyp = 4
/
ATOMIC_SPECIES
Tb 158.93 Tb.upf
Tm 168.93 Tm.upf
H 1.01 H.upf
Br 79.90 Br.upf
CELL_PARAMETERS angstrom
3.813 0.000 0.000
-1.906 3.302 0.000
0.000 0.000 14.776
ATOMIC_POSITIONS crystal
Tb 0.000 0.000 0.000
Tm 0.000 0.000 0.500
H 0.333 0.667 0.500
H 0.667 0.333 0.000
Br 0.333 0.667 0.131
Br 0.333 0.667 0.869
Br 0.667 0.333 0.373
Br 0.667 0.333 0.627

=====

! PBE TbYH2Br4, relaxed; values from VASP
! Electronic total energy (eV/atom): -4.587
! Space-group type: P-6m2 (187)
! Crystal system: hexagonal
! Size of the total moment (μB per atom): 0.000
&SYSTEM
  ibrav = 0, nat = 8, ntyp = 4
/
ATOMIC_SPECIES
Tb 158.93 Tb.upf
Y 88.91 Y.upf
H 1.01 H.upf
Br 79.90 Br.upf
CELL_PARAMETERS angstrom
3.845 0.000 0.000
-1.922 3.330 0.000
0.000 0.000 14.810
ATOMIC_POSITIONS crystal
Tb 0.000 0.000 0.000
Y 0.000 0.000 0.500
H 0.333 0.667 0.500
H 0.667 0.333 0.000
Br 0.333 0.667 0.130
Br 0.333 0.667 0.870
Br 0.667 0.333 0.371
Br 0.667 0.333 0.629

=====

! PBE Th6H8Br15, relaxed; values from VASP
! Electronic total energy (eV/atom): -4.662
! Space-group type: Im-3m (229)
! Crystal system: cubic
! Size of the total moment (μB per atom): 0.034
&SYSTEM
  ibrav = 0, nat = 29, ntyp = 3
/
ATOMIC_SPECIES
Th 232.04 Th.upf
H 1.01 H.upf
Br 79.90 Br.upf
CELL_PARAMETERS angstrom
-5.770 5.770 5.770
5.770 -5.770 5.770
5.770 5.770 -5.770
ATOMIC_POSITIONS crystal
Th 0.000 0.239 0.239
Th 0.000 0.761 0.761
Th 0.239 0.000 0.239
Th 0.239 0.239 0.000
Th 0.761 0.000 0.761
Th 0.761 0.761 0.000
H 0.000 0.000 0.180
H 0.000 0.000 0.820
H 0.000 0.180 0.000
H 0.000 0.820 0.000
H 0.180 0.000 0.000
H 0.180 0.180 0.180
H 0.820 0.000 0.000
H 0.820 0.820 0.820
Br 0.000 0.256 0.744
Br 0.000 0.500 0.500
Br 0.000 0.744 0.256
Br 0.256 0.000 0.744
Br 0.256 0.256 0.511
Br 0.256 0.511 0.256
Br 0.256 0.744 0.000
Br 0.489 0.744 0.744
Br 0.500 0.000 0.500
Br 0.500 0.500 0.000
Br 0.511 0.256 0.256
Br 0.744 0.000 0.256
Br 0.744 0.256 0.000
Br 0.744 0.489 0.744
Br 0.744 0.744 0.489

=====

! PBE UH2Br, relaxed; values from VASP
! Electronic total energy (eV/atom): -5.547
! Space-group type: R-3m (166)
! Crystal system: trigonal
! Size of the total moment (μB per atom): 0.738
&SYSTEM
  ibrav = 0, nat = 8, ntyp = 3
/
ATOMIC_SPECIES
U 238.03 U.upf
H 1.01 H.upf
Br 79.90 Br.upf
CELL_PARAMETERS angstrom
1.888 1.090 10.354
-1.888 1.090 10.354
0.000 -2.180 10.354
ATOMIC_POSITIONS crystal
U 0.117 0.117 0.117
U 0.883 0.883 0.883
H 0.189 0.189 0.189
H 0.454 0.454 0.454
H 0.546 0.546 0.546
H 0.811 0.811 0.811
Br 0.282 0.282 0.282
Br 0.718 0.718 0.718

=====

! PBE UH2Br8, relaxed; values from VASP
! Electronic total energy (eV/atom): -3.627
! Space-group type: C2/m (12)
! Crystal system: monoclinic
! Size of the total moment (μB per atom): 0.000
&SYSTEM
  ibrav = 0, nat = 11, ntyp = 3
/
ATOMIC_SPECIES
U 238.03 U.upf
H 1.01 H.upf
Br 79.90 Br.upf
CELL_PARAMETERS angstrom
6.483 -4.501 0.000
6.483 4.501 0.000
-0.185 0.000 7.010
ATOMIC_POSITIONS crystal
U 0.000 0.000 0.000
H 0.273 0.273 0.291
H 0.727 0.727 0.709
Br 0.102 0.688 0.812
Br 0.140 0.140 0.735
Br 0.312 0.898 0.188
Br 0.383 0.383 0.331
Br 0.617 0.617 0.669
Br 0.688 0.102 0.812
Br 0.860 0.860 0.265
Br 0.898 0.312 0.188

=====

! PBE Hf2Br, relaxed; values from VASP
! Electronic total energy (eV/atom): -6.489
! Space-group type: Fd-3m (227)
! Crystal system: cubic
! Size of the total moment (μB per atom): 0.001
&SYSTEM
  ibrav = 0, nat = 6, ntyp = 2
/
ATOMIC_SPECIES
Hf 178.49 Hf.upf
Br 79.90 Br.upf
CELL_PARAMETERS angstrom
0.000 4.210 4.210
4.210 0.000 4.210
4.210 4.210 0.000
ATOMIC_POSITIONS crystal
Hf 0.000 0.000 0.000
Hf 0.000 0.000 0.500
Hf 0.000 0.500 0.000
Hf 0.500 0.000 0.000
Br 0.375 0.375 0.375
Br 0.625 0.625 0.625

=====

! PBE HfBr, relaxed; values from VASP
! Electronic total energy (eV/atom): -5.929
! Space-group type: P-6m2 (187)
! Crystal system: hexagonal
! Size of the total moment (μB per atom): 0.012
&SYSTEM
  ibrav = 0, nat = 2, ntyp = 2
/
ATOMIC_SPECIES
Hf 178.49 Hf.upf
Br 79.90 Br.upf
CELL_PARAMETERS angstrom
3.282 0.000 0.000
-1.641 2.842 0.000
0.000 0.000 4.468
ATOMIC_POSITIONS crystal
Hf 0.000 0.000 0.000
Br 0.333 0.667 0.500

=====

! PBE Hf2Br, relaxed; values from VASP
! Electronic total energy (eV/atom): -4.692
! Space-group type: Fd-3m (227)
! Crystal system: cubic
! Size of the total moment (μB per atom): 0.168
&SYSTEM
  ibrav = 0, nat = 6, ntyp = 2
/
ATOMIC_SPECIES
Hf 178.49 Hf.upf
Br 79.90 Br.upf
CELL_PARAMETERS angstrom
0.000 5.759 5.759
5.759 0.000 5.759
5.759 5.759 0.000
ATOMIC_POSITIONS crystal
Hf 0.000 0.000 0.000
Hf 0.000 0.000 0.500
Hf 0.000 0.500 0.000
Hf 0.500 0.000 0.000
Br 0.125 0.125 0.125
Br 0.875 0.875 0.875

=====

! PBE HfBr4, relaxed; values from VASP
! Electronic total energy (eV/atom): -4.642
! Space-group type: Fdd2 (43)
! Crystal system: orthorhombic
! Size of the total moment (μB per atom): 0.000
&SYSTEM
  ibrav = 0, nat = 10, ntyp = 2
/
ATOMIC_SPECIES
Hf 178.49 Hf.upf
Br 79.90 Br.upf
CELL_PARAMETERS angstrom
0.000 6.495 4.091
5.902 0.000 4.091
5.902 6.495 0.000
ATOMIC_POSITIONS crystal
Hf 0.000 0.000 0.000
Hf 0.250 0.250 0.250
Br 0.001 0.949 0.327
Br 0.400 0.482 0.274
Br 0.406 0.976 0.768
Br 0.482 0.400 0.844
Br 0.526 0.923 0.301
Br 0.923 0.526 0.249
Br 0.949 0.001 0.724
Br 0.976 0.406 0.850

=====

! PBE HfBr2, relaxed; values from VASP
! Electronic total energy (eV/atom): -3.529
! Space-group type: Fd-3m (227)
! Crystal system: cubic
! Size of the total moment (μB per atom): 0.616
&SYSTEM
  ibrav = 0, nat = 6, ntyp = 2
/
ATOMIC_SPECIES
Hf 178.49 Hf.upf
Br 79.90 Br.upf
CELL_PARAMETERS angstrom
0.000 4.233 4.233
4.233 0.000 4.233
4.233 4.233 0.000
ATOMIC_POSITIONS crystal
Hf 0.125 0.125 0.125
Hf 0.875 0.875 0.875
Br 0.000 0.500 0.500
Br 0.500 0.000 0.500
Br 0.500 0.500 0.000
Br 0.500 0.500 0.500

=====

! PBE HfBr, relaxed; values from VASP
! Electronic total energy (eV/atom): -5.230
! Space-group type: Fm-3m (225)
! Crystal system: cubic
! Size of the total moment (μB per atom): 0.001
&SYSTEM
  ibrav = 0, nat = 2, ntyp = 2
/
ATOMIC_SPECIES
Hf 178.49 Hf.upf
Br 79.90 Br.upf
CELL_PARAMETERS angstrom
0.000 2.772 2.772
2.772 0.000 2.772
2.772 2.772 0.000
ATOMIC_POSITIONS crystal
Hf 0.000 0.000 0.000
Br 0.500 0.500 0.500

=====

! PBE Hf2Br5, relaxed; values from VASP
! Electronic total energy (eV/atom): -5.183
! Space-group type: P2_1/m (11)
! Crystal system: monoclinic
! Size of the total moment (μB per atom): 0.017
&SYSTEM
  ibrav = 0, nat = 14, ntyp = 2
/
ATOMIC_SPECIES
Hf 178.49 Hf.upf
Br 79.90 Br.upf
CELL_PARAMETERS angstrom
8.256 0.000 0.000
0.000 3.426 0.000
-0.198 0.000 13.412
ATOMIC_POSITIONS crystal
Hf 0.114 0.250 0.361
Hf 0.340 0.750 0.194
Hf 0.660 0.250 0.806
Hf 0.886 0.750 0.639
Br 0.015 0.750 0.209
Br 0.141 0.250 0.573
Br 0.275 0.250 0.044
Br 0.364 0.750 0.396
Br 0.410 0.750 0.787
Br 0.590 0.250 0.213
Br 0.636 0.250 0.604
Br 0.725 0.750 0.956
Br 0.859 0.750 0.427
Br 0.985 0.250 0.791

=====

! PBE HfBr3, relaxed; values from VASP
! Electronic total energy (eV/atom): -4.931
! Space-group type: P2_1/m (11)
! Crystal system: monoclinic
! Size of the total moment (μB per atom): 0.022
&SYSTEM
  ibrav = 0, nat = 8, ntyp = 2
/
ATOMIC_SPECIES
Hf 178.49 Hf.upf
Br 79.90 Br.upf
CELL_PARAMETERS angstrom
9.325 0.000 0.000
0.000 3.400 0.000
-4.658 0.000 8.082
ATOMIC_POSITIONS crystal
Hf 0.167 0.250 0.333
Hf 0.833 0.750 0.667
Br 0.077 0.250 0.722
Br 0.222 0.750 0.145
Br 0.355 0.750 0.577
Br 0.645 0.250 0.423
Br 0.778 0.250 0.855
Br 0.923 0.750 0.278

=====

! PBE HfBr4, relaxed; values from VASP
! Electronic total energy (eV/atom): -4.714
! Space-group type: C2/c (15)
! Crystal system: monoclinic
! Size of the total moment (μB per atom): 0.000
&SYSTEM
  ibrav = 0, nat = 20, ntyp = 2
/
ATOMIC_SPECIES
Hf 178.49 Hf.upf
Br 79.90 Br.upf
CELL_PARAMETERS angstrom
5.586 -5.589 0.000
5.586 5.589 0.000
-5.352 0.000 10.828
ATOMIC_POSITIONS crystal
Hf 0.060 0.785 0.875
Hf 0.215 0.940 0.625
Hf 0.785 0.060 0.375
Hf 0.940 0.215 0.125
Br 0.052 0.825 0.383
Br 0.056 0.281 0.366
Br 0.175 0.948 0.117
Br 0.182 0.426 0.137
Br 0.281 0.056 0.866
Br 0.307 0.592 0.887
Br 0.408 0.693 0.613
Br 0.426 0.182 0.637
Br 0.574 0.818 0.363
Br 0.592 0.307 0.387
Br 0.693 0.408 0.113
Br 0.719 0.944 0.134
Br 0.818 0.574 0.863
Br 0.825 0.052 0.883
Br 0.944 0.719 0.634
Br 0.948 0.175 0.617